#A
Material: PmHoTmIn
Method: DFT, PBE
State: relaxed

## Properties
Fermi-level density of states: 1.6432 states/eV per atom
Crystal system: cubic

```
data_PmHoTmIn
_chemical_formula_sum 'Pm4 Ho4 Tm4 In4'
_symmetry_space_group_name_H-M 'F -4 3 m'
_symmetry_Int_Tables_number 216
_symmetry_space_group_name_Hall 'F -4 2 3'
_cell_length_a 7.7255
_cell_length_b 7.7255
_cell_length_c 7.7255
_cell_angle_alpha 90.00
_cell_angle_beta 90.00
_cell_angle_gamma 90.00
loop_
_atom_site_label
_atom_site_type_symbol
_atom_site_fract_x
_atom_site_fract_y
_atom_site_fract_z
Pm1 Pm 0.0000 0.0000 0.0000
Ho1 Ho 0.0000 0.0000 0.5000
Tm1 Tm 0.2500 0.2500 0.2500
In1 In 0.2500 0.2500 0.7500
```



#B
Material: PmHoTmIn
Method: DFT, PBE
State: relaxed

## Properties
Fermi-level density of states: 1.4177 states/eV per atom
Crystal system: cubic

```
data_PmHoTmIn
_chemical_formula_sum 'Pm4 Ho4 Tm4 In4'
_symmetry_space_group_name_H-M 'F -4 3 m'
_symmetry_Int_Tables_number 216
_symmetry_space_group_name_Hall 'F -4 2 3'
_cell_length_a 7.7112
_cell_length_b 7.7112
_cell_length_c 7.7112
_cell_angle_alpha 90.00
_cell_angle_beta 90.00
_cell_angle_gamma 90.00
loop_
_atom_site_label
_atom_site_type_symbol
_atom_site_fract_x
_atom_site_fract_y
_atom_site_fract_z
Pm1 Pm 0.0000 0.0000 0.0000
Ho1 Ho 0.2500 0.2500 0.7500
Tm1 Tm 0.2500 0.2500 0.2500
In1 In 0.0000 0.0000 0.5000
```



Of them, #B has the lowest stability.